This record from Alexandria describes an optimized crystal structure of Ti2Be9Cu. The functional is PBE.

a b c (Å): 4.421 4.421 7.597
angles (deg): 73.09 73.09 60.00
Last column: magnetic moment on the atom in μB.
Positions (direct):
Ti 0.852 0.852 0.443  0.63
Ti 0.148 0.148 0.557  0.63
Be 0.918 0.418 0.247  0.00
Be 0.418 0.918 0.247  0.00
Be 0.582 0.082 0.753  0.00
Be 0.582 0.582 0.753  0.00
Be 0.082 0.582 0.753  0.00
Be 0.418 0.418 0.247  0.00
Be 0.666 0.666 0.003  -0.01
Be 0.334 0.334 0.997  -0.01
Be 0.500 0.500 0.500  -0.02
Cu 0.000 0.000 0.000  -0.01

Values from the calculation:
Fermi-level density of states: 0.2297 states/eV/atom
Energy relative to the elements: -0.0371 eV/atom
E: -4.4889 eV/atom
V: 121.09 Å³/cell

This record from Alexandria describes an optimized crystal structure of LaUN. The functional is PBE.

a b c (Å): 6.554 3.441 3.441
angles (deg): 120.00 90.00 90.00
Last column: magnetic moment on the atom in μB.
Positions (direct):
U 0.213 0.333 0.667  2.33
La 0.766 0.667 0.333  0.05
N 0.021 0.000 0.000  -0.05

Values from the calculation:
Fermi-level density of states: 1.8130 states/eV/atom
Energy relative to the lowest polymorph listed for this composition: 43 meV/atom
E: -8.7336 eV/atom
V: 67.19 Å³/cell
Raw formation energy: -553.3 meV per atom

This record from Alexandria describes an optimized crystal structure of GaCo2SiSb. The functional is PBE.

a b c (Å): 4.297 5.308 4.297
angles (deg): 90.00 90.00 90.00
Last column: magnetic moment on the atom in μB.
Positions (direct):
Sb 0.000 0.500 0.000  0.04
Co 0.500 0.000 0.000  1.07
Co 0.000 0.000 0.500  0.96
Ga 0.500 0.500 0.500  -0.01
Si 0.000 0.000 0.000  -0.05

Values from the calculation:
Fermi-level density of states: 1.5995 states/eV/atom
E: -4.6380 eV/atom
V: 98.00 Å³/cell
Raw formation energy: 718.8 meV per atom

This record from Alexandria describes an optimized crystal structure of YAlCd. The functional is PBE.

a b c (Å): 7.327 5.844 5.962
angles (deg): 90.11 35.88 77.64
Positions (direct):
Cd 0.482 0.121 0.581
Cd 0.482 0.121 0.081
Y 0.183 0.719 0.630
Y 0.781 0.523 0.531
Al 0.881 0.323 0.931
Al 0.083 0.919 0.230

Values from the calculation:
Fermi-level density of states: 0.5957 states/eV/atom
Energy relative to the elements: -0.3268 eV/atom
E: -4.0340 eV/atom
V: 139.14 Å³/cell

This record from Alexandria describes an optimized crystal structure of Sr4SNCl2. The functional is PBE.

a b c (Å): 4.078 7.388 7.217
angles (deg): 71.63 90.00 90.00
Positions (direct):
S 0.500 0.500 0.000
N 0.000 0.500 0.500
Sr 0.500 0.702 0.288
Sr 0.500 0.298 0.712
Sr 0.000 0.712 0.734
Sr 0.000 0.288 0.266
Cl 0.500 0.000 0.500
Cl 0.000 0.000 0.000

Values from the calculation:
Fermi-level density of states: 0.4217 states/eV/atom
E: -4.4874 eV/atom
V: 206.36 Å³/cell
Raw formation energy: -1628.2 meV per atom

This record from Alexandria describes an optimized crystal structure of Sr2Ac4Ru. The functional is PBE.

a b c (Å): 5.857 5.857 10.850
angles (deg): 74.34 74.34 90.00
Positions (direct):
Ac 0.858 0.858 0.283
Ac 0.000 0.500 0.000
Ac 0.142 0.142 0.717
Ac 0.500 0.000 0.000
Sr 0.341 0.341 0.318
Sr 0.659 0.659 0.682
Ru 0.000 0.000 0.000

Values from the calculation:
Fermi-level density of states: 1.2291 states/eV/atom
Energy relative to the elements: 0.0692 eV/atom
E: -4.0842 eV/atom
V: 344.01 Å³/cell

This record from Alexandria describes an optimized crystal structure of Hf2MoPd. The functional is PBE.

a b c (Å): 3.331 3.331 6.595
angles (deg): 90.00 90.00 90.00
Positions (direct):
Pd 0.500 0.500 0.500
Mo 0.500 0.500 0.000
Hf 0.000 0.000 0.761
Hf 0.000 0.000 0.239

Values from the calculation:
Fermi-level density of states: 0.5922 states/eV/atom
Energy relative to the elements: -0.4736 eV/atom
E: -9.4563 eV/atom
V: 73.18 Å³/cell

This record from Alexandria describes an optimized crystal structure of ZrTiNb2Mo. The functional is PBE.

a b c (Å): 4.789 4.511 4.789
angles (deg): 90.00 90.00 90.00
Positions (direct):
Ti 0.000 0.000 0.000
Zr 0.500 0.500 0.500
Mo 0.000 0.500 0.000
Nb 0.000 0.000 0.500
Nb 0.500 0.000 0.000

Values from the calculation:
Fermi-level density of states: 1.0617 states/eV/atom
Energy relative to the elements: 0.9750 eV/atom
E: -8.5077 eV/atom
V: 103.47 Å³/cell